Record 1
Entry from Alexandria via LeMat-Bulk: an optimized crystal structure of AcDy6Y (GGA-PBE).

Computed properties:
Spin magnetization: 0.000 μB/atom
Final energy: -4.73 eV per atom
N(E_F): 12.01 states/eV/f.u.
Space-group type: P4/mmm
Energy relative to the lowest polymorph listed for this composition: 0 meV/atom
Energy relative to the elements: 0.0443 eV/atom

abc: 5.0990 5.0990 10.1854
angles: 90.00 90.00 90.00
Fractional positions:
Ac 0.0000 0.0000 0.0000
Dy 0.5000 0.5000 0.0000
Dy 0.5000 0.5000 0.5000
Dy 0.5000 0.0000 0.2574
Dy 0.5000 0.0000 0.7426
Dy 0.0000 0.5000 0.2574
Dy 0.0000 0.5000 0.7426
Y 0.0000 0.0000 0.5000

Record 2
Entry from Alexandria via LeMat-Bulk: an optimized crystal structure of CaAcTh2Bi4 (GGA-PBE).

Computed properties:
Spin magnetization: 0.000 μB/atom
Final energy: -5.33 eV per atom
N(E_F): 2.04 states/eV/f.u.
Space-group type: P2/m
Energy relative to the elements: -0.7667 eV/atom

abc: 4.6731 8.0685 8.1590
angles: 109.35 90.00 90.00
Fractional positions:
Ca 0.5000 0.5000 0.0000
Ac 0.0000 0.0000 0.0000
Th 0.5000 0.0000 0.5000
Th 0.0000 0.5000 0.5000
Bi 0.5000 0.2596 0.2616
Bi 0.5000 0.7404 0.7384
Bi 0.0000 0.2521 0.7410
Bi 0.0000 0.7479 0.2590

What is the final energy in the second record? -5.33 eV per atom

Which value of spin magnetization does entry 1 give? 0.000 μB/atom

What is the spin magnetization in the first record? 0.000 μB/atom

Which of these has the highest N(E_F)? AcDy6Y